This record from OQMD via LeMat-Bulk describes a geometry-optimized BeCdFeAs structure. The functional is GGA-PBE.

Cell and atoms, written as extended XYZ:
```
4
Lattice="-1.683 2.016 3.536 -4.207 1.305 -0.003 -2.952 -2.078 2.523" Properties=species:S:1:pos:R:3 pbc="T T T"
As 0.000 0.000 0.000
Be -2.210 0.311 1.514
Cd -4.421 0.622 3.028
Fe -6.631 0.932 4.542
```

As for the energy above the most stable polymorph in this dataset: 0 kJ/mol of formula units.



This record from OQMD via LeMat-Bulk describes a geometry-optimized NdPbAuSeS2 structure. The functional is GGA-PBE.

Cell and atoms, written as extended XYZ:
```
12
Lattice="-5.217 0.798 4.746 1.737 -1.733 -6.660 1.148 -10.467 3.023" Properties=species:S:1:pos:R:3 pbc="T T T"
Au 1.794 -4.266 -5.528
Au -4.127 -7.136 6.636
Nd -1.740 -0.467 -0.957
Nd -1.166 -5.701 0.554
Pb -3.032 -2.509 2.388
Pb 0.700 -8.893 -1.280
S 0.843 -2.048 -4.881
S 1.271 -5.947 -3.755
S -3.603 -5.455 4.864
S -3.175 -9.354 5.990
Se -0.766 -3.334 -1.329
Se -1.567 -8.068 2.437
```

The value obtained for the total energy is -4.87 eV per atom.